Here is an optimized crystal structure of ZrSi2Ni from OQMD. Energies are from PBE-GGA.

Computed properties:
* total energy: -26.6 eV/f.u.

Unit cell a=4.9847 b=3.5051 c=7.0376 alpha=90.00 beta=90.01 gamma=90.00
Positions (direct):
Ni 0.8814 0.2500 0.1748
Ni 0.1186 0.7500 0.8252
Si 0.3256 0.2500 0.0143
Si 0.8696 0.7500 0.4275
Si 0.1304 0.2500 0.5725
Si 0.6744 0.7500 0.9857
Zr 0.3715 0.7500 0.3125
Zr 0.6285 0.2500 0.6875